{"formula": "RbMgW3", "functional": "PBE-GGA", "state": "optimized geometry", "vol_a3_per_fu": 107.9, "density_g_cm3": 10.2, "formation_enthalpy_0k_mev_per_atom": 3688, "total_energy_ev_per_atom": -4.60, "spacegroup": "Pm-3m (221)", "cell": [[4.760, 0.000, 0.000], [0.000, 4.760, 0.000], [0.000, 0.000, 4.760]], "species": ["W", "W", "W", "Rb", "Mg"], "fractional_positions": [[0.000, 0.000, 0.500], [0.500, 0.000, 0.000], [0.000, 0.500, 0.000], [0.000, 0.000, 0.000], [0.500, 0.500, 0.500]]}

---

{"formula": "IrSeNF2", "functional": "PBE-GGA", "state": "optimized geometry", "vol_a3_per_fu": 72.7, "density_g_cm3": 7.4, "total_energy_ev_per_atom": -4.71, "spacegroup": "P4/mmm (123)", "cell": [[-3.922, -0.824, 1.848], [1.981, -0.748, 3.872], [-0.346, 3.612, 0.875]], "species": ["F", "F", "N", "Se", "Ir"], "fractional_positions": [[0.000, 0.500, 0.000], [0.500, 0.000, 0.000], [0.000, 0.000, 0.500], [0.500, 0.500, 0.500], [0.000, 0.000, 0.000]]}

---

no.,E above lowest polymorph (eV/atom)
1,0.6322
2,0.0000